The following is a GGA+U calculation of an optimized crystal structure of LiCoTeO4, from Alexandria.

Values from the calculation:
The symmetry is Cmcm (63). Its total energy is -5.287 eV per atom. The volume is 161 Å³ per cell.

```
14
Lattice="2.8974 -4.6331 0.0000 2.8974 4.6331 0.0000 0.0000 0.0000 6.0004" Properties=species:S:1:pos:R:3 pbc="T T T"
Li 2.8974 3.1776 4.5003
Li 2.8974 -3.1776 1.5001
Co 2.8974 0.0000 0.0000
Co 2.8974 0.0000 3.0002
Te 2.8974 3.1135 1.5001
Te 2.8974 -3.1135 4.5003
O 1.6081 0.0206 1.5001
O 1.6081 -0.0206 4.5003
O 2.8974 1.9390 3.0315
O 2.8974 1.9390 5.9691
O 2.8974 -1.9390 0.0313
O 2.8974 -1.9390 2.9689
O 4.1867 0.0206 1.5001
O 4.1867 -0.0206 4.5003
```